MgRhCl6 | GGA-PBE | relaxed

SG: C2/m
E_form (uncorrected) in eV per atom: -0.9090

a = 6.7572 Å, b = 6.7572 Å, c = 6.1345 Å
α = 99.14°, β = 99.14°, γ = 126.03°
Last column: nearest neighbours and their distance in Å.
Positions (direct):
Mg 0.0000 0.0000 0.0000  6 Cl 2.44-2.73
Rh 0.5000 0.5000 0.5000  6 Cl 2.31-2.36
Cl 0.1221 0.3953 0.2563  1 Rh 2.36, 1 Mg 2.44
Cl 0.2682 0.2682 0.7268  1 Rh 2.31
Cl 0.3953 0.1221 0.2563  1 Rh 2.36, 1 Mg 2.44
Cl 0.6047 0.8779 0.7437  1 Rh 2.36, 1 Mg 2.44
Cl 0.7318 0.7318 0.2732  1 Rh 2.31
Cl 0.8779 0.6047 0.7437  1 Rh 2.36, 1 Mg 2.44

---

TbCe2PrP4 | GGA-PBE | relaxed

SG: P2/m

a = 7.0989 Å, b = 4.1020 Å, c = 7.1070 Å
α = 90.00°, β = 109.48°, γ = 90.00°
Last column: nearest neighbours and their distance in Å.
Positions (direct):
Tb 0.0000 0.0000 0.0000  6 P 2.89
Ce 0.5000 0.0000 0.5000  6 P 2.91
Ce 0.5000 0.5000 0.0000  6 P 2.86
Pr 0.0000 0.5000 0.5000  6 P 2.94
P 0.2523 0.5000 0.2455  3 Ce 2.86-2.91, 2 Tb 2.89, 1 Pr 2.94
P 0.2564 0.0000 0.7575  3 Ce 2.86-2.91, 1 Tb 2.89, 2 Pr 2.94
P 0.7436 0.0000 0.2425  3 Ce 2.86-2.91, 1 Tb 2.89, 2 Pr 2.94
P 0.7477 0.5000 0.7545  3 Ce 2.86-2.91, 2 Tb 2.89, 1 Pr 2.94

---

Here are the calculated calculated volume numbers, same order: 26.522 24.388 (Å³ per atom).
Here are the calculated VASP energy numbers, same order: -3.4122 -6.8970 (eV per atom).
Here are the calculated N(E_F) numbers, same order: 0.697 1.169 (states/eV per atom).